[1]
A relaxed Na2MgAlF7 crystal, computed with GGA-PBE.

abc: 7.222 7.222 7.222
angles: 120.73 90.98 118.16
Sites, in units of the cell vectors:
Na (0.000, 0.000, 0.000)
Na (0.500, 0.000, 0.000)
Na (0.500, 0.000, 0.500)
Na (0.500, 0.500, 0.500)
Mg (0.000, 0.000, 0.500)
Mg (0.000, 0.500, 0.000)
Al (0.000, 0.500, 0.500)
Al (0.500, 0.500, 0.000)
F (0.044, 0.246, 0.427)
F (0.044, 0.616, 0.798)
F (0.113, 0.863, 0.250)
F (0.307, 0.721, 0.586)
F (0.319, 0.246, 0.702)
F (0.319, 0.616, 0.073)
F (0.365, 0.279, 0.086)
F (0.635, 0.721, 0.914)
F (0.681, 0.384, 0.927)
F (0.681, 0.754, 0.298)
F (0.693, 0.279, 0.414)
F (0.887, 0.137, 0.750)
F (0.956, 0.384, 0.202)
F (0.956, 0.754, 0.573)

Properties
E_form (uncorrected): -3313 meV/atom



[2]
A relaxed MgAlO2F crystal, computed with GGA-PBE.

abc: 3.911 3.911 3.575
angles: 90.00 90.00 90.00
Sites, in units of the cell vectors:
Mg (0.000, 0.000, 0.000)
Al (0.500, 0.500, 0.500)
O (0.000, 0.500, 0.000)
O (0.500, 0.000, 0.000)
F (0.000, 0.000, 0.500)

Properties
E_form (uncorrected): -1583 meV/atom



[3]
A relaxed MgAlO2F crystal, computed with GGA-PBE.

abc: 3.723 3.723 3.578
angles: 90.00 90.00 90.00
Sites, in units of the cell vectors:
Mg (0.000, 0.000, 0.000)
Al (0.500, 0.500, 0.500)
O (0.000, 0.500, 0.500)
O (0.500, 0.000, 0.500)
F (0.500, 0.500, 0.000)

Properties
E_form (uncorrected): -2623 meV/atom



[4]
A relaxed MgAlO2F5 crystal, computed with GGA-PBE.

abc: 7.126 7.126 7.126
angles: 120.77 85.55 124.47
Sites, in units of the cell vectors:
Mg (0.000, 0.000, 0.000)
Mg (0.500, 0.000, 0.500)
Al (0.500, 0.000, 0.000)
Al (0.500, 0.500, 0.500)
O (0.109, 0.725, 0.384)
O (0.159, 0.275, 0.884)
O (0.841, 0.725, 0.116)
O (0.891, 0.275, 0.616)
F (0.191, 0.264, 0.324)
F (0.191, 0.867, 0.927)
F (0.424, 0.674, 0.750)
F (0.440, 0.264, 0.573)
F (0.440, 0.867, 0.176)
F (0.560, 0.133, 0.824)
F (0.560, 0.736, 0.427)
F (0.576, 0.326, 0.250)
F (0.809, 0.133, 0.073)
F (0.809, 0.736, 0.676)

Properties
E_form (uncorrected): -2076 meV/atom



Which formula does entry 4 have? MgAlO2F5



Copy entry 4 word for word.
A relaxed MgAlO2F5 crystal, computed with GGA-PBE.

abc: 7.126 7.126 7.126
angles: 120.77 85.55 124.47
Sites, in units of the cell vectors:
Mg (0.000, 0.000, 0.000)
Mg (0.500, 0.000, 0.500)
Al (0.500, 0.000, 0.000)
Al (0.500, 0.500, 0.500)
O (0.109, 0.725, 0.384)
O (0.159, 0.275, 0.884)
O (0.841, 0.725, 0.116)
O (0.891, 0.275, 0.616)
F (0.191, 0.264, 0.324)
F (0.191, 0.867, 0.927)
F (0.424, 0.674, 0.750)
F (0.440, 0.264, 0.573)
F (0.440, 0.867, 0.176)
F (0.560, 0.133, 0.824)
F (0.560, 0.736, 0.427)
F (0.576, 0.326, 0.250)
F (0.809, 0.133, 0.073)
F (0.809, 0.736, 0.676)

Properties
E_form (uncorrected): -2076 meV/atom



Repeat the first record exactly.
A relaxed Na2MgAlF7 crystal, computed with GGA-PBE.

abc: 7.222 7.222 7.222
angles: 120.73 90.98 118.16
Sites, in units of the cell vectors:
Na (0.000, 0.000, 0.000)
Na (0.500, 0.000, 0.000)
Na (0.500, 0.000, 0.500)
Na (0.500, 0.500, 0.500)
Mg (0.000, 0.000, 0.500)
Mg (0.000, 0.500, 0.000)
Al (0.000, 0.500, 0.500)
Al (0.500, 0.500, 0.000)
F (0.044, 0.246, 0.427)
F (0.044, 0.616, 0.798)
F (0.113, 0.863, 0.250)
F (0.307, 0.721, 0.586)
F (0.319, 0.246, 0.702)
F (0.319, 0.616, 0.073)
F (0.365, 0.279, 0.086)
F (0.635, 0.721, 0.914)
F (0.681, 0.384, 0.927)
F (0.681, 0.754, 0.298)
F (0.693, 0.279, 0.414)
F (0.887, 0.137, 0.750)
F (0.956, 0.384, 0.202)
F (0.956, 0.754, 0.573)

Properties
E_form (uncorrected): -3313 meV/atom